# 1
Computed, not measured: a relaxed Rb3TcSn crystal at the PBEsol level of DFT.

E above lowest polymorph (meV/atom): 0

Structure (CIF):
```
data_Rb3TcSn
_chemical_formula_sum 'Rb3 Tc1 Sn1'
_cell_length_a 6.343
_cell_length_b 6.343
_cell_length_c 6.343
_cell_angle_alpha 90.00
_cell_angle_beta 90.00
_cell_angle_gamma 90.00
_symmetry_space_group_name_H-M 'P m -3 m'
_symmetry_Int_Tables_number 221
_symmetry_space_group_name_Hall '-P 4 2 3'
loop_
_atom_site_label
_atom_site_type_symbol
_atom_site_fract_x
_atom_site_fract_y
_atom_site_fract_z
Rb1 Rb 0.000 0.000 0.500
Tc1 Tc 0.000 0.000 0.000
Sn1 Sn 0.500 0.500 0.500
```

---

# 2
Computed, not measured: a relaxed PtRh2 crystal at the PBEsol level of DFT.

E above lowest polymorph (meV/atom): 73

Structure (CIF):
```
data_PtRh2
_chemical_formula_sum 'Pt4 Rh8'
_cell_length_a 2.695
_cell_length_b 14.034
_cell_length_c 4.455
_cell_angle_alpha 90.00
_cell_angle_beta 90.00
_cell_angle_gamma 90.00
_symmetry_space_group_name_H-M 'C m c m'
_symmetry_Int_Tables_number 63
_symmetry_space_group_name_Hall '-C 2c 2'
loop_
_atom_site_label
_atom_site_type_symbol
_atom_site_fract_x
_atom_site_fract_y
_atom_site_fract_z
Pt1 Pt 0.000 0.220 0.250
Rh1 Rh 0.000 0.108 0.750
Rh2 Rh 0.000 0.447 0.750
```

---

# 3
Computed, not measured: a relaxed CoMoAsSe2 crystal at the PBEsol level of DFT.

Uncorrected formation energy (eV/atom): 0.740

Structure (CIF):
```
data_CoMoAsSe2
_chemical_formula_sum 'Co1 Mo1 As1 Se2'
_cell_length_a 4.597
_cell_length_b 4.597
_cell_length_c 4.341
_cell_angle_alpha 90.00
_cell_angle_beta 90.00
_cell_angle_gamma 90.00
_symmetry_space_group_name_H-M 'P 4/m m m'
_symmetry_Int_Tables_number 123
_symmetry_space_group_name_Hall '-P 4 2'
loop_
_atom_site_label
_atom_site_type_symbol
_atom_site_fract_x
_atom_site_fract_y
_atom_site_fract_z
Co1 Co 0.000 0.000 0.000
Mo1 Mo 0.500 0.500 0.500
As1 As 0.000 0.000 0.500
Se1 Se 0.000 0.500 0.000
```

---

no.,volume (Å³/cell),magnetic moment (μB per cell)
1,255.2,6.1
2,168.5,0.0
3,91.8,2.3